No. 1
Compound: BaZrAl2Rh
Source: Alexandria
Functional: PBE-GGA
Structure: optimized geometry

* VASP energy: -4.824 eV/atom
* E_form: 0.24 eV per atom

```
data_BaZrAl2Rh
_space_group_name_H-M_alt 'P 4/m m m'
_space_group_IT_number 123
_space_group_name_Hall '-P 4 2'
_cell_length_a 5.4169
_cell_length_b 5.4169
_cell_length_c 4.9013
_cell_angle_alpha 90.00
_cell_angle_beta 90.00
_cell_angle_gamma 90.00
loop_
_atom_site_label
_atom_site_type_symbol
_atom_site_fract_x
_atom_site_fract_y
_atom_site_fract_z
Ba1 Ba 0.0000 0.0000 0.0000
Zr1 Zr 0.5000 0.5000 0.5000
Al1 Al 0.0000 0.5000 0.5000
Rh1 Rh 0.5000 0.5000 0.0000
```

---

No. 2
Compound: BaAl2Ru
Source: Alexandria
Functional: PBE-GGA
Structure: optimized geometry

* VASP energy: -4.304 eV/atom
* E_form: 0.37 eV per atom

```
data_BaAl2Ru
_space_group_name_H-M_alt 'I 4/m m m'
_space_group_IT_number 139
_space_group_name_Hall '-I 4 2'
_cell_length_a 4.6763
_cell_length_b 4.6763
_cell_length_c 7.7397
_cell_angle_alpha 90.00
_cell_angle_beta 90.00
_cell_angle_gamma 90.00
loop_
_atom_site_label
_atom_site_type_symbol
_atom_site_fract_x
_atom_site_fract_y
_atom_site_fract_z
Ba1 Ba 0.0000 0.0000 0.0000
Al1 Al 0.0000 0.5000 0.2500
Ru1 Ru 0.0000 0.0000 0.5000
```

---

No. 3
Compound: Ba2AlRu
Source: Alexandria
Functional: PBE-GGA
Structure: optimized geometry

* VASP energy: -4.083 eV/atom
* E_form: 0.13 eV per atom

```
data_Ba2AlRu
_space_group_name_H-M_alt 'I -4 2 d'
_space_group_IT_number 122
_space_group_name_Hall 'I -4 2bw'
_cell_length_a 11.6321
_cell_length_b 11.6321
_cell_length_c 4.8385
_cell_angle_alpha 90.00
_cell_angle_beta 90.00
_cell_angle_gamma 90.00
loop_
_atom_site_label
_atom_site_type_symbol
_atom_site_fract_x
_atom_site_fract_y
_atom_site_fract_z
Ba1 Ba 0.0665 0.2500 0.1250
Al1 Al 0.0000 0.0000 0.5000
Ru1 Ru 0.0000 0.0000 0.0000
```

---

No. 4
Compound: Ba2AlRu
Source: Alexandria
Functional: PBE-GGA
Structure: optimized geometry

* VASP energy: -4.146 eV/atom
* E_form: 0.07 eV per atom

```
data_Ba2AlRu
_space_group_name_H-M_alt 'P m m 2'
_space_group_IT_number 25
_cell_length_a 3.5909
_cell_length_b 3.6010
_cell_length_c 9.5986
_cell_angle_alpha 90.00
_cell_angle_beta 90.00
_cell_angle_gamma 90.00
loop_
_space_group_symop_operation_xyz
'x,y,z'
'-x,-y,z'
'-x,y,z'
'x,-y,z'
loop_
_atom_site_label
_atom_site_type_symbol
_atom_site_fract_x
_atom_site_fract_y
_atom_site_fract_z
Ba1 Ba 0.0000 0.0000 0.0000
Ba2 Ba 0.5000 0.5000 0.4223
Al1 Al 0.5000 0.5000 0.7539
Ru1 Ru 0.0000 0.0000 0.6864
```

---

No. 5
Compound: Ba4AlRu
Source: Alexandria
Functional: PBE-GGA
Structure: optimized geometry

* VASP energy: -2.387 eV/atom
* E_form: 1.06 eV per atom

```
data_Ba4AlRu
_space_group_name_H-M_alt 'F -4 3 m'
_space_group_IT_number 216
_space_group_name_Hall 'F -4 2 3'
_cell_length_a 9.7945
_cell_length_b 9.7945
_cell_length_c 9.7945
_cell_angle_alpha 90.00
_cell_angle_beta 90.00
_cell_angle_gamma 90.00
loop_
_atom_site_label
_atom_site_type_symbol
_atom_site_fract_x
_atom_site_fract_y
_atom_site_fract_z
Ba1 Ba 0.1248 0.1248 0.1248
Al1 Al 0.0000 0.0000 0.5000
Ru1 Ru 0.2500 0.2500 0.7500
```

---

No. 6
Compound: BaAlRu
Source: Alexandria
Functional: PBE-GGA
Structure: optimized geometry

* VASP energy: -4.994 eV/atom
* E_form: -0.01 eV per atom

```
data_BaAlRu
_space_group_name_H-M_alt 'I 4 m m'
_space_group_IT_number 107
_space_group_name_Hall 'I 4 -2'
_cell_length_a 3.4476
_cell_length_b 3.4476
_cell_length_c 11.8466
_cell_angle_alpha 90.00
_cell_angle_beta 90.00
_cell_angle_gamma 90.00
loop_
_atom_site_label
_atom_site_type_symbol
_atom_site_fract_x
_atom_site_fract_y
_atom_site_fract_z
Ba1 Ba 0.0000 0.0000 0.0000
Al1 Al 0.0000 0.0000 0.2755
Ru1 Ru 0.0000 0.0000 0.7202
```